[1]
Below is an optimized crystal structure of La2ZnNi3As4, with properties calculated at the PBE level.

a b c (Å): 4.297 4.297 9.737
angles (deg): 90.00 90.00 90.00
Element x y z (fractional)
As1 0.000 0.500 0.360
La1 0.500 0.000 0.244
As2 0.500 0.500 0.000
La2 0.000 0.500 0.756
Ni1 0.500 0.000 0.888
As3 0.000 0.000 0.000
Zn1 0.500 0.500 0.500
Ni2 0.000 0.000 0.500
As4 0.500 0.000 0.640
Ni3 0.000 0.500 0.112

Output
Its space group is No. 115. The formation enthalpy at 0 K comes out at -0.809 eV per atom. The calculation puts the raw total energy at -5.5156 eV/atom.

=====

[2]
Below is an optimized crystal structure of SrErPaS6, with properties calculated at the PBE level.

a b c (Å): 5.865 7.078 7.078
angles (deg): 120.00 90.00 90.00
Site moments in Bohr magnetons follow the coordinates.
Element x y z (fractional)
S1 0.749 0.297 0.957  0.21
S2 0.251 0.660 0.957  0.21
Sr1 0.500 0.667 0.333  0.01
S3 0.251 0.297 0.340  0.21
Pa1 0.000 0.333 0.667  -0.05
Er1 0.500 0.000 0.000  -0.02
S4 0.749 0.043 0.340  0.21
S5 0.749 0.660 0.703  0.21
S6 0.251 0.043 0.703  0.21

Output
Its space group is No. 149. The calculation puts the energy relative to the elements, uncorrected at -1.3456 eV/atom. The calculation puts the raw total energy at -5.8461 eV/atom.

=====

[3]
Below is an optimized crystal structure of Cs2KAgAu, with properties calculated at the PBE level.

a b c (Å): 6.929 6.929 6.373
angles (deg): 90.00 90.00 90.00
Element x y z (fractional)
Cs1 0.500 0.000 0.000
Au1 0.500 0.500 0.500
Ag1 0.000 0.000 0.000
K1 0.000 0.000 0.500
Cs2 0.000 0.500 0.000

Output
Its space group is No. 123. The formation enthalpy at 0 K comes out at 0.090 eV per atom. The calculation puts the raw total energy at -1.6964 eV/atom.

=====

[4]
Below is an optimized crystal structure of BeCu4, with properties calculated at the PBE level.

a b c (Å): 4.381 4.381 4.381
angles (deg): 109.47 109.47 109.47
Element x y z (fractional)
Cu1 0.000 0.000 0.500
Cu2 0.500 0.500 0.500
Cu3 0.500 0.000 0.000
Be1 0.000 0.000 0.000
Cu4 0.000 0.500 0.000

Output
Its space group is No. 229. The formation enthalpy at 0 K comes out at 0.346 eV per atom. The calculation puts the raw total energy at -3.6761 eV/atom.

=====

[5]
Below is an optimized crystal structure of PmThGeRu, with properties calculated at the PBE level.

a b c (Å): 5.103 5.103 5.103
angles (deg): 60.00 60.00 60.00
Element x y z (fractional)
Th1 0.000 0.000 0.000
Ge1 0.250 0.250 0.250
Ru1 0.750 0.750 0.750
Pm1 0.500 0.500 0.500

Output
Its space group is No. 216. The formation enthalpy at 0 K comes out at -0.337 eV per atom. The calculation puts the raw total energy at -6.8527 eV/atom.

=====

[6]
Below is an optimized crystal structure of TiH3S, with properties calculated at the PBE level.

a b c (Å): 3.547 3.547 3.547
angles (deg): 90.00 90.00 90.00
Element x y z (fractional)
H1 0.500 0.000 0.000
H2 0.000 0.000 0.500
Ti1 0.000 0.000 0.000
S1 0.500 0.500 0.500
H3 0.000 0.500 0.000

Output
Its space group is No. 221. The calculation puts the raw total energy at -4.1728 eV/atom.

=====

Q: What is the raw total energy in the sixth record?
A: -4.1728 eV/atom

=====

Q: Look up the raw total energy of the first one.
A: -5.5156 eV/atom